! Li3Si GGA-PBE relaxed; values from VASP
&SYSTEM
  ibrav = 0, nat = 4, ntyp = 2
/
ATOMIC_SPECIES
Li 6.94 Li.upf
Si 28.09 Si.upf
ATOMIC_POSITIONS crystal
Li 0.500 0.500 0.750
Li 0.000 0.000 0.033
Li 0.000 0.000 0.467
Si 0.500 0.500 0.250
CELL_PARAMETERS angstrom
2.687 -0.001 0.000
0.001 2.687 0.000
0.000 0.000 8.865
! raw formation energy: -0.103 eV per atom
! DOS at the Fermi energy: 1.64 states/eV/f.u.
! total DFT energy (no corrections): -2.894 eV per atom
! crystal system: tetragonal

=====

! Li4Si GGA-PBE relaxed; values from VASP
&SYSTEM
  ibrav = 0, nat = 5, ntyp = 2
/
ATOMIC_SPECIES
Si 28.09 Si.upf
Li 6.94 Li.upf
ATOMIC_POSITIONS crystal
Si 0.000 0.000 0.000
Li 0.750 0.250 0.500
Li 0.250 0.750 0.500
Li 0.348 0.348 0.000
Li 0.652 0.652 0.000
CELL_PARAMETERS angstrom
-2.298 2.298 3.579
2.298 -2.298 3.579
2.298 2.298 -3.579
! raw formation energy: 0.037 eV per atom
! DOS at the Fermi energy: 0.30 states/eV/f.u.
! total DFT energy (no corrections): -2.579 eV per atom
! crystal system: tetragonal
! offset from the most stable computed form: 168.7 meV/atom

=====

! Li5Si GGA-PBE relaxed; values from VASP
&SYSTEM
  ibrav = 0, nat = 6, ntyp = 2
/
ATOMIC_SPECIES
Li 6.94 Li.upf
Si 28.09 Si.upf
ATOMIC_POSITIONS crystal
Li 0.973 0.973 0.027
Li 0.649 0.649 0.187
Li 0.640 0.640 0.750
Si 0.306 0.306 0.892
Li 0.960 0.960 0.593
Li 0.305 0.305 0.384
CELL_PARAMETERS angstrom
-2.400 -0.674 -4.168
-4.374 -1.306 -1.659
-3.647 5.919 -1.377
! raw formation energy: -0.108 eV per atom
! DOS at the Fermi energy: 1.48 states/eV/f.u.
! total DFT energy (no corrections): -2.607 eV per atom
! crystal system: monoclinic
! offset from the most stable computed form: 55.7 meV/atom